# 1
The following is a DFT calculation (PBE) of an optimized crystal structure of BaSrAu2.

Output
Total energy in eV per atom: -3.012
Space group: I-42d, No. 122
ΔH_f (0 K) in eV/atom: -0.472
Total magnetic moment in μB/cell: 0.0
DOS(E_F) in states/eV per atom: 1.08
Offset from the most stable computed form in meV/atom: 261.4

Lattice parameters (Å, degrees): 7.2619 7.2619 7.2619 108.69 108.69 111.05
Closest atoms and distances in Å follow each position.
Fractional coordinates of all 8 atoms:
Ba (0.0000, 0.0000, 0.0000)  4 Au 3.25
Ba (0.7500, 0.2500, 0.5000)  4 Au 3.25
Sr (0.2500, 0.7500, 0.5000)  4 Au 3.08
Sr (0.5000, 0.5000, 0.0000)  4 Au 3.08
Au (0.1398, 0.6250, 0.0148)  2 Sr 3.08, 2 Ba 3.25
Au (0.3750, 0.3898, 0.5148)  2 Sr 3.08, 2 Ba 3.25
Au (0.6102, 0.1250, 0.9852)  2 Sr 3.08, 2 Ba 3.25
Au (0.8750, 0.8602, 0.4852)  2 Sr 3.08, 2 Ba 3.25


# 2
The following is a DFT calculation (PBE) of an optimized crystal structure of BaSr5Au4.

Output
Total energy in eV per atom: -2.918
Space group: C2/m, No. 12
ΔH_f (0 K) in eV/atom: -0.574
Total magnetic moment in μB/cell: 0.0
DOS(E_F) in states/eV per atom: 0.77

Lattice parameters (Å, degrees): 9.4769 9.4769 7.7913 113.65 113.65 33.75
Closest atoms and distances in Å follow each position.
Fractional coordinates of all 10 atoms:
Ba (0.0000, 0.0000, 0.0000)  6 Au 3.41-3.44
Sr (0.0000, 0.0000, 0.5000)  6 Au 3.34-3.37
Sr (0.3347, 0.3347, 0.8241)  5 Au 3.30-3.43
Sr (0.3356, 0.3356, 0.3475)  5 Au 3.23-3.37
Sr (0.6644, 0.6644, 0.6525)  5 Au 3.23-3.37
Sr (0.6653, 0.6653, 0.1759)  5 Au 3.30-3.43
Au (0.1696, 0.1696, 0.4234)  7 Sr 3.30-3.37, 1 Ba 3.44
Au (0.4920, 0.4920, 0.2503)  6 Sr 3.23-3.43, 2 Ba 3.41
Au (0.5080, 0.5080, 0.7497)  6 Sr 3.23-3.43, 2 Ba 3.41
Au (0.8304, 0.8304, 0.5766)  7 Sr 3.30-3.37, 1 Ba 3.44


# 3
The following is a DFT calculation (PBE) of an optimized crystal structure of BaSrAu2.

Output
Total energy in eV per atom: -3.273
Space group: Amm2, No. 38
ΔH_f (0 K) in eV/atom: -0.734
Total magnetic moment in μB/cell: 0.0
DOS(E_F) in states/eV per atom: 0.85
Offset from the most stable computed form in meV/atom: 0.0

Lattice parameters (Å, degrees): 4.9398 6.3800 6.3800 40.36 90.00 90.00
Closest atoms and distances in Å follow each position.
Fractional coordinates of all 4 atoms:
Ba (0.0000, 0.0000, 0.0000)  7 Au 3.37-3.42
Sr (0.5000, 0.2739, 0.2739)  7 Au 3.34-3.48
Au (0.0000, 0.7187, 0.7187)  2 Au 3.08, 3 Ba 3.37-3.42, 4 Sr 3.37
Au (0.5000, 0.5645, 0.5645)  2 Au 3.08, 2 Sr 3.34, 4 Ba 3.40


# 4
The following is a DFT calculation (PBE) of an optimized crystal structure of Ba3Sr4Au2.

Output
Total energy in eV per atom: -2.447
Space group: C2/m, No. 12
ΔH_f (0 K) in eV/atom: -0.330
Total magnetic moment in μB/cell: 0.0
DOS(E_F) in states/eV per atom: 1.05

Lattice parameters (Å, degrees): 10.8834 10.8834 10.8214 116.91 116.91 23.91
Closest atoms and distances in Å follow each position.
Fractional coordinates of all 9 atoms:
Ba (0.0000, 0.0000, 0.0000)  6 Sr 4.16-4.63, 2 Ba 4.51
Ba (0.3598, 0.3598, 0.1703)  1 Au 3.25
Ba (0.6402, 0.6402, 0.8297)  1 Au 3.25
Sr (0.0723, 0.0723, 0.4293)  2 Au 3.10
Sr (0.2962, 0.2962, 0.6984)  3 Au 3.13-3.21
Sr (0.7038, 0.7038, 0.3016)  3 Au 3.13-3.21
Sr (0.9277, 0.9277, 0.5707)  2 Au 3.10
Au (0.3183, 0.3183, 0.4240)  5 Sr 3.10-3.21, 1 Ba 3.25
Au (0.6817, 0.6817, 0.5760)  5 Sr 3.10-3.21, 1 Ba 3.25


# 5
The following is a DFT calculation (PBE) of an optimized crystal structure of Ba5SrAu3.

Output
Total energy in eV per atom: -2.875
Space group: P2/m, No. 10
ΔH_f (0 K) in eV/atom: -0.528
Total magnetic moment in μB/cell: 0.0
DOS(E_F) in states/eV per atom: 0.76

Lattice parameters (Å, degrees): 7.7739 4.8463 23.3674 90.00 90.93 90.00
Closest atoms and distances in Å follow each position.
Fractional coordinates of all 18 atoms:
Ba (0.1811, 0.0000, 0.4047)  3 Au 3.31-3.33
Ba (0.2235, 0.0000, 0.0631)  3 Au 3.31-3.34
Ba (0.2743, 0.5000, 0.8922)  3 Au 3.31-3.33
Ba (0.3004, 0.5000, 0.2369)  3 Au 3.31-3.32
Ba (0.3152, 0.5000, 0.5725)  3 Au 3.29-3.30
Ba (0.6848, 0.5000, 0.4275)  3 Au 3.29-3.30
Ba (0.6996, 0.5000, 0.7631)  3 Au 3.31-3.32
Ba (0.7257, 0.5000, 0.1078)  3 Au 3.31-3.33
Ba (0.7765, 0.0000, 0.9369)  3 Au 3.31-3.34
Ba (0.8189, 0.0000, 0.5953)  3 Au 3.31-3.33
Sr (0.2015, 0.0000, 0.7317)  3 Au 3.17
Sr (0.7985, 0.0000, 0.2683)  3 Au 3.17
Au (0.0000, 0.5000, 0.0000)  6 Ba 3.31-3.33
Au (0.0134, 0.5000, 0.6693)  2 Sr 3.17, 4 Ba 3.29-3.33
Au (0.4899, 0.0000, 0.8292)  1 Sr 3.17, 5 Ba 3.31-3.34
Au (0.5000, 0.0000, 0.5000)  6 Ba 3.30-3.31
Au (0.5101, 0.0000, 0.1708)  1 Sr 3.17, 5 Ba 3.31-3.34
Au (0.9866, 0.5000, 0.3307)  2 Sr 3.17, 4 Ba 3.29-3.33


# 6
The following is a DFT calculation (PBE) of an optimized crystal structure of Ba6SrAu3.

Output
Total energy in eV per atom: -2.739
Space group: P2_1/m, No. 11
ΔH_f (0 K) in eV/atom: -0.434
Total magnetic moment in μB/cell: 0.0
DOS(E_F) in states/eV per atom: 0.81

Lattice parameters (Å, degrees): 14.7258 4.7309 14.7273 90.00 102.44 90.00
Closest atoms and distances in Å follow each position.
Fractional coordinates of all 20 atoms:
Ba (0.0331, 0.2500, 0.2680)  2 Au 3.24
Ba (0.1377, 0.7500, 0.0224)  4 Au 3.27-3.39
Ba (0.2510, 0.2500, 0.8161)  3 Au 3.31-3.34
Ba (0.3009, 0.7500, 0.3060)  2 Au 3.22
Ba (0.4008, 0.2500, 0.5645)  3 Au 3.27-3.42
Ba (0.4533, 0.2500, 0.1139)  4 Au 3.36-3.47
Ba (0.5467, 0.7500, 0.8861)  4 Au 3.36-3.47
Ba (0.5992, 0.7500, 0.4355)  3 Au 3.27-3.42
Ba (0.6991, 0.2500, 0.6940)  2 Au 3.22
Ba (0.7490, 0.7500, 0.1839)  3 Au 3.31-3.34
Ba (0.8623, 0.2500, 0.9776)  4 Au 3.27-3.39
Ba (0.9669, 0.7500, 0.7320)  2 Au 3.24
Sr (0.1312, 0.7500, 0.5288)  6 Ba 4.24-4.55, 4 Sr 4.45-4.73
Sr (0.8688, 0.2500, 0.4712)  6 Ba 4.24-4.55, 4 Sr 4.45-4.73
Au (0.0473, 0.2500, 0.8770)  6 Ba 3.24-3.37
Au (0.3488, 0.7500, 0.9657)  6 Ba 3.34-3.39
Au (0.4528, 0.2500, 0.3493)  6 Ba 3.22-3.47
Au (0.5472, 0.7500, 0.6507)  6 Ba 3.22-3.47
Au (0.6512, 0.2500, 0.0343)  6 Ba 3.34-3.39
Au (0.9527, 0.7500, 0.1230)  6 Ba 3.24-3.37


# 7
The following is a DFT calculation (PBE) of an optimized crystal structure of Ba2Sr2Au.

Output
Total energy in eV per atom: -2.201
Space group: P4/mbm, No. 127
ΔH_f (0 K) in eV/atom: -0.103
Total magnetic moment in μB/cell: 0.0
DOS(E_F) in states/eV per atom: 1.17
Offset from the most stable computed form in meV/atom: 229.2

Lattice parameters (Å, degrees): 8.5501 8.5501 6.9968 90.00 90.00 90.00
Closest atoms and distances in Å follow each position.
Fractional coordinates of all 10 atoms:
Ba (0.1651, 0.3349, 0.0000)  2 Au 3.19
Ba (0.3349, 0.8349, 0.0000)  2 Au 3.19
Ba (0.6651, 0.1651, 0.0000)  2 Au 3.19
Ba (0.8349, 0.6651, 0.0000)  2 Au 3.19
Sr (0.1687, 0.6687, 0.5000)  6 Ba 4.03-4.51, 5 Sr 4.08-4.50
Sr (0.3313, 0.1687, 0.5000)  6 Ba 4.03-4.51, 5 Sr 4.08-4.50
Sr (0.6687, 0.8313, 0.5000)  6 Ba 4.03-4.51, 5 Sr 4.08-4.50
Sr (0.8313, 0.3313, 0.5000)  6 Ba 4.03-4.51, 5 Sr 4.08-4.50
Au (0.0000, 0.0000, 0.0000)  4 Ba 3.19
Au (0.5000, 0.5000, 0.0000)  4 Ba 3.19


# 8
The following is a DFT calculation (PBE) of an optimized crystal structure of BaSr2Au.

Output
Total energy in eV per atom: -2.271
Space group: Pmmm, No. 47
ΔH_f (0 K) in eV/atom: -0.130
Total magnetic moment in μB/cell: 0.0
DOS(E_F) in states/eV per atom: 1.21
Offset from the most stable computed form in meV/atom: 282.5

Lattice parameters (Å, degrees): 5.1939 5.2063 5.9072 90.00 90.00 90.00
Closest atoms and distances in Å follow each position.
Fractional coordinates of all 4 atoms:
Ba (0.0000, 0.0000, 0.0000)  4 Au 3.68, 8 Sr 3.93-3.94
Sr (0.0000, 0.5000, 0.5000)  4 Sr 3.68, 4 Au 3.93, 4 Ba 3.94
Sr (0.5000, 0.0000, 0.5000)  4 Sr 3.68, 4 Ba 3.93, 4 Au 3.94
Au (0.5000, 0.5000, 0.0000)  4 Ba 3.68, 8 Sr 3.93-3.94


# 9
The following is a DFT calculation (PBE) of an optimized crystal structure of BaSr5Au3.

Output
Total energy in eV per atom: -2.797
Space group: P2/m, No. 10
ΔH_f (0 K) in eV/atom: -0.556
Total magnetic moment in μB/cell: 0.0
DOS(E_F) in states/eV per atom: 0.59

Lattice parameters (Å, degrees): 7.5133 4.6543 22.4807 90.00 91.03 90.00
Closest atoms and distances in Å follow each position.
Fractional coordinates of all 18 atoms:
Ba (0.2032, 0.0000, 0.2640)  3 Au 3.29
Ba (0.7968, 0.0000, 0.7360)  3 Au 3.29
Sr (0.1723, 0.0000, 0.9265)  3 Au 3.13-3.15
Sr (0.2294, 0.0000, 0.6045)  3 Au 3.13-3.14
Sr (0.2758, 0.5000, 0.4393)  3 Au 3.15-3.17
Sr (0.2970, 0.5000, 0.7685)  3 Au 3.14
Sr (0.3284, 0.5000, 0.0885)  3 Au 3.14-3.15
Sr (0.6716, 0.5000, 0.9115)  3 Au 3.14-3.15
Sr (0.7030, 0.5000, 0.2315)  3 Au 3.14
Sr (0.7242, 0.5000, 0.5607)  3 Au 3.15-3.17
Sr (0.7706, 0.0000, 0.3955)  3 Au 3.13-3.14
Sr (0.8277, 0.0000, 0.0735)  3 Au 3.13-3.15
Au (0.0000, 0.5000, 0.0000)  6 Sr 3.14-3.15
Au (0.0147, 0.5000, 0.6637)  4 Sr 3.14-3.15, 2 Ba 3.29
Au (0.4893, 0.0000, 0.8382)  5 Sr 3.13-3.15, 1 Ba 3.29
Au (0.5000, 0.0000, 0.5000)  6 Sr 3.13-3.17
Au (0.5107, 0.0000, 0.1618)  5 Sr 3.13-3.15, 1 Ba 3.29
Au (0.9853, 0.5000, 0.3363)  4 Sr 3.14-3.15, 2 Ba 3.29


# 10
The following is a DFT calculation (PBE) of an optimized crystal structure of Ba5Sr3Au2.

Output
Total energy in eV per atom: -2.435
Space group: Ibam, No. 72
ΔH_f (0 K) in eV/atom: -0.314
Total magnetic moment in μB/cell: 0.0
DOS(E_F) in states/eV per atom: 0.94

Lattice parameters (Å, degrees): 12.0013 12.0013 12.0013 115.74 81.56 135.44
Closest atoms and distances in Å follow each position.
Fractional coordinates of all 20 atoms:
Ba (0.0007, 0.2500, 0.7507)  2 Au 3.25
Ba (0.1225, 0.7479, 0.8704)  1 Au 3.24
Ba (0.2500, 0.2500, 0.0000)  4 Sr 4.51, 8 Ba 4.53-4.55
Ba (0.3775, 0.2479, 0.6254)  1 Au 3.24
Ba (0.4993, 0.2500, 0.2493)  2 Au 3.25
Ba (0.5007, 0.7500, 0.7507)  2 Au 3.25
Ba (0.6225, 0.7521, 0.3746)  1 Au 3.24
Ba (0.7500, 0.7500, 0.0000)  4 Sr 4.51, 8 Ba 4.53-4.55
Ba (0.8775, 0.2521, 0.1296)  1 Au 3.24
Ba (0.9993, 0.7500, 0.2493)  2 Au 3.25
Sr (0.1232, 0.2500, 0.3732)  1 Au 3.12
Sr (0.2500, 0.7500, 0.5000)  4 Au 3.19
Sr (0.3768, 0.7500, 0.1268)  1 Au 3.12
Sr (0.6232, 0.2500, 0.8732)  1 Au 3.12
Sr (0.7500, 0.2500, 0.5000)  4 Au 3.19
Sr (0.8768, 0.7500, 0.6268)  1 Au 3.12
Au (0.1229, 0.4941, 0.6170)  3 Sr 3.12-3.19, 3 Ba 3.24-3.25
Au (0.3771, 0.9941, 0.3712)  3 Sr 3.12-3.19, 3 Ba 3.24-3.25
Au (0.6229, 0.0059, 0.6288)  3 Sr 3.12-3.19, 3 Ba 3.24-3.25
Au (0.8771, 0.5059, 0.3830)  3 Sr 3.12-3.19, 3 Ba 3.24-3.25


# 11
The following is a DFT calculation (PBE) of an optimized crystal structure of BaSr2Au.

Output
Total energy in eV per atom: -2.523
Space group: R-3m, No. 166
ΔH_f (0 K) in eV/atom: -0.383
Total magnetic moment in μB/cell: 0.0
DOS(E_F) in states/eV per atom: 1.07
Offset from the most stable computed form in meV/atom: 30.2

Lattice parameters (Å, degrees): 11.2087 11.2087 11.2087 23.24 23.24 23.24
Closest atoms and distances in Å follow each position.
Fractional coordinates of all 4 atoms:
Ba (0.0000, 0.0000, 0.0000)  6 Ba 4.51, 6 Sr 4.53
Sr (0.2201, 0.2201, 0.2201)  3 Au 3.14
Sr (0.7799, 0.7799, 0.7799)  3 Au 3.14
Au (0.5000, 0.5000, 0.5000)  6 Sr 3.14


# 12
The following is a DFT calculation (PBE) of an optimized crystal structure of Ba4Sr3Au.

Output
Total energy in eV per atom: -2.167
Space group: P4/mmm, No. 123
ΔH_f (0 K) in eV/atom: -0.166
Total magnetic moment in μB/cell: 0.0
DOS(E_F) in states/eV per atom: 1.23

Lattice parameters (Å, degrees): 4.1978 4.1978 23.5955 90.00 90.00 90.00
Closest atoms and distances in Å follow each position.
Fractional coordinates of all 8 atoms:
Ba (0.0000, 0.0000, 0.0797)  4 Au 3.51, 1 Ba 3.76
Ba (0.0000, 0.0000, 0.3610)  4 Ba 4.20, 8 Sr 4.41-4.42
Ba (0.0000, 0.0000, 0.6390)  4 Ba 4.20, 8 Sr 4.41-4.42
Ba (0.0000, 0.0000, 0.9203)  4 Au 3.51, 1 Ba 3.76
Sr (0.5000, 0.5000, 0.2226)  4 Sr 4.20, 8 Ba 4.41-4.49
Sr (0.5000, 0.5000, 0.5000)  4 Sr 4.20, 8 Ba 4.42
Sr (0.5000, 0.5000, 0.7774)  4 Sr 4.20, 8 Ba 4.41-4.49
Au (0.5000, 0.5000, 0.0000)  8 Ba 3.51